Record 1
Here is crystalline Nd2Ga3Cu4Rh at its relaxed geometry from the Alexandria database. Energies are from PBE-GGA.

a b c (Å): 4.124 4.124 10.503
angles (deg): 90.00 90.00 90.00
Space group P-4m2 (No. 115)
Asymmetric unit:
Nd1 0.000 0.500 0.246 (multiplicity 2)
Ga1 0.000 0.000 0.000 (multiplicity 1)
Ga2 0.000 0.500 0.627 (multiplicity 2)
Cu1 0.000 0.000 0.500 (multiplicity 1)
Cu2 0.000 0.500 0.860 (multiplicity 2)
Cu3 0.500 0.500 0.500 (multiplicity 1)
Rh1 0.500 0.500 0.000 (multiplicity 1)

- spin magnetization (Bohr magnetons per cell) = 0.0
- E_form (eV/atom) = -0.392

---

Record 2
Here is crystalline NdGa4Cu2Ru at its relaxed geometry from the Alexandria database. Energies are from PBE-GGA.

a b c (Å): 4.1935 4.1935 27.1689
angles (deg): 90.00 90.00 120.00
Space group R-3m (No. 166, hexagonal axes)
Asymmetric unit:
Nd1 0.0000 0.0000 0.0000 (multiplicity 3)
Ga1 0.0000 0.0000 0.1316 (multiplicity 6)
Ga2 0.0000 0.0000 0.4030 (multiplicity 6)
Cu1 0.0000 0.0000 0.2328 (multiplicity 6)
Ru1 0.0000 0.0000 0.5000 (multiplicity 3)

- spin magnetization (Bohr magnetons per cell) = 0.0
- E_form (eV/atom) = -0.309

---

Record 3
Here is crystalline NdGa4CuRu2 at its relaxed geometry from the Alexandria database. Energies are from PBE-GGA.

a b c (Å): 4.2636 4.2636 26.1914
angles (deg): 90.00 90.00 120.00
Space group R-3m (No. 166, hexagonal axes)
Asymmetric unit:
Nd1 0.0000 0.0000 0.0000 (multiplicity 3)
Ga1 0.0000 0.0000 0.1290 (multiplicity 6)
Ga2 0.0000 0.0000 0.4016 (multiplicity 6)
Cu1 0.0000 0.0000 0.5000 (multiplicity 3)
Ru1 0.0000 0.0000 0.2277 (multiplicity 6)

- spin magnetization (Bohr magnetons per cell) = 0.0
- E_form (eV/atom) = -0.345

---

Record 4
Here is crystalline NdSc2Ga2Cu2 at its relaxed geometry from the Alexandria database. Energies are from PBE-GGA.

a b c (Å): 4.3603 4.3603 25.5939
angles (deg): 90.00 90.00 120.00
Space group R-3m (No. 166, hexagonal axes)
Asymmetric unit:
Nd1 0.0000 0.0000 0.0000 (multiplicity 3)
Sc1 0.0000 0.0000 0.1303 (multiplicity 6)
Ga1 0.0000 0.0000 0.2520 (multiplicity 6)
Cu1 0.0000 0.0000 0.4187 (multiplicity 6)

- spin magnetization (Bohr magnetons per cell) = 0.0
- E_form (eV/atom) = -0.415